Version 1
Below is a relaxed LiZnIO2 crystal, with properties calculated at the GGA-PBE level.

Unit cell a=3.885 b=3.885 c=6.513 alpha=90.00 beta=90.00 gamma=90.00
Space group P4/mmm (No. 123)
One atom of each set of equivalent atoms:
Li  0.000  0.000  0.000 [1 per cell]
Zn  0.500  0.500  0.500 [1 per cell]
I  0.500  0.500  0.000 [1 per cell]
O  0.000  0.500  0.500 [2 per cell]

Version 2
Below is a relaxed LiZnIO2 crystal, with properties calculated at the GGA-PBE level.

Unit cell a=3.856 b=3.856 c=5.454 alpha=90.00 beta=90.00 gamma=90.00
Space group P4/mmm (No. 123)
One atom of each set of equivalent atoms:
Li  0.000  0.000  0.000 [1 per cell]
Zn  0.500  0.500  0.500 [1 per cell]
I  0.000  0.000  0.500 [1 per cell]
O  0.000  0.500  0.000 [2 per cell]

The most stable arrangement is version 1, and the next structure is 591 meV/atom less stable.

Version 1
Below is a relaxed LiOsI2 crystal, with properties calculated at the GGA-PBE level.

Unit cell a=6.097 b=6.097 c=12.715 alpha=90.00 beta=90.00 gamma=90.00
Space group I-42d (No. 122)
One atom of each set of equivalent atoms:
Li  0.000  0.000  0.000 [4 per cell]
Os  0.000  0.000  0.500 [4 per cell]
I  0.226  0.250  0.625 [8 per cell]

Version 2
Below is a relaxed LiOsI2 crystal, with properties calculated at the GGA-PBE level.

Unit cell a=6.963 b=6.963 c=6.963 alpha=90.00 beta=90.00 gamma=90.00
Space group Fm-3m (No. 225)
One atom of each set of equivalent atoms:
Li  0.000  0.000  0.000 [4 per cell]
Os  0.000  0.000  0.500 [4 per cell]
I  0.250  0.250  0.250 [8 per cell]

The most stable arrangement is version 1, and the next structure is 335 meV/atom less stable.

Version 1
Below is a relaxed LiOs2I2 crystal, with properties calculated at the GGA-PBE level.

Unit cell a=7.916 b=7.916 c=3.417 alpha=90.00 beta=90.00 gamma=90.00
Space group P4/mbm (No. 127)
One atom of each set of equivalent atoms:
Li  0.000  0.000  0.000 [2 per cell]
Os  0.108  0.392  0.000 [4 per cell]
I  0.207  0.707  0.500 [4 per cell]

Version 2
Below is a relaxed LiOs2I2 crystal, with properties calculated at the GGA-PBE level.

Unit cell a=4.799 b=4.799 c=10.467 alpha=90.00 beta=90.00 gamma=90.00
Space group I4/mmm (No. 139)
One atom of each set of equivalent atoms:
Li  0.000  0.000  0.000 [2 per cell]
Os  0.000  0.000  0.391 [4 per cell]
I  0.000  0.500  0.250 [4 per cell]

The most stable arrangement is version 2, and the next structure is 42 meV/atom less stable.

Version 1
Below is a relaxed Li2OsI crystal, with properties calculated at the GGA-PBE level.

Unit cell a=6.343 b=6.343 c=6.343 alpha=90.00 beta=90.00 gamma=90.00
Space group Fm-3m (No. 225)
One atom of each set of equivalent atoms:
Li  0.250  0.250  0.250 [8 per cell]
Os  0.000  0.000  0.000 [4 per cell]
I  0.000  0.000  0.500 [4 per cell]

Version 2
Below is a relaxed Li2OsI crystal, with properties calculated at the GGA-PBE level.

Unit cell a=7.508 b=7.508 c=5.400 alpha=90.00 beta=90.00 gamma=90.00
Space group I-42d (No. 122)
One atom of each set of equivalent atoms:
Li  0.240  0.750  0.125 [8 per cell]
Os  0.000  0.000  0.000 [4 per cell]
I  0.000  0.000  0.500 [4 per cell]

The most stable arrangement is version 2, and the next structure is 20 meV/atom less stable.